Record 1
Compound: NbCCl3
Source: Alexandria
Functional: PBE
Structure: relaxed

Lattice parameters (Å, degrees): 4.873 4.873 4.873 90.00 90.00 90.00
Space group Pm-3m (No. 221)
Asymmetric unit:
Nb (0.000, 0.000, 0.000) [1 per cell]
C (0.500, 0.500, 0.500) [1 per cell]
Cl (0.000, 0.000, 0.500) [3 per cell]

* V: 23.149 Å³/atom
* DFT total energy: -4.22 eV per atom
* relative energy among the computed polymorphs: 0.000 eV/f.u.



Record 2
Compound: NbCCl3
Source: Alexandria
Functional: PBE
Structure: relaxed

Lattice parameters (Å, degrees): 4.453 4.453 4.453 90.00 90.00 90.00
Space group Pm-3m (No. 221)
Asymmetric unit:
Nb (0.000, 0.000, 0.000) [1 per cell]
C (0.500, 0.500, 0.500) [1 per cell]
Cl (0.000, 0.500, 0.500) [3 per cell]

* V: 17.663 Å³/atom
* DFT total energy: -3.73 eV per atom
* relative energy among the computed polymorphs: 2.438 eV/f.u.



Record 3
Compound: Nb2CCl
Source: Alexandria
Functional: PBE
Structure: relaxed

Lattice parameters (Å, degrees): 5.406 5.406 9.862 90.00 90.00 90.00
Space group I-42d (No. 122)
Asymmetric unit:
Nb (0.177, 0.250, 0.125) [8 per cell]
C (0.000, 0.000, 0.000) [4 per cell]
Cl (0.000, 0.000, 0.500) [4 per cell]

* V: 18.013 Å³/atom
* DFT total energy: -7.52 eV per atom



Record 4
Compound: Nb2CCl
Source: Alexandria
Functional: PBE
Structure: relaxed

Lattice parameters (Å, degrees): 5.961 5.961 5.961 90.00 90.00 90.00
Space group Fm-3m (No. 225)
Asymmetric unit:
Nb (0.250, 0.250, 0.250) [8 per cell]
C (0.000, 0.000, 0.000) [4 per cell]
Cl (0.000, 0.000, 0.500) [4 per cell]

* V: 13.240 Å³/atom
* DFT total energy: -7.32 eV per atom



Record 5
Compound: NbCSCl2
Source: Alexandria
Functional: PBE
Structure: relaxed

Lattice parameters (Å, degrees): 4.307 4.307 4.229 90.00 90.00 90.00
Space group P4/mmm (No. 123)
Asymmetric unit:
Nb (0.000, 0.000, 0.000) [1 per cell]
C (0.500, 0.500, 0.500) [1 per cell]
S (0.500, 0.500, 0.000) [1 per cell]
Cl (0.000, 0.500, 0.500) [2 per cell]

* V: 15.689 Å³/atom
* DFT total energy: -4.28 eV per atom
* relative energy among the computed polymorphs: 1.552 eV/f.u.



Record 6
Compound: NbCSCl2
Source: Alexandria
Functional: PBE
Structure: relaxed

Lattice parameters (Å, degrees): 4.900 4.900 4.759 90.00 90.00 90.00
Space group P4/mmm (No. 123)
Asymmetric unit:
Nb (0.000, 0.000, 0.000) [1 per cell]
C (0.500, 0.500, 0.500) [1 per cell]
S (0.000, 0.000, 0.500) [1 per cell]
Cl (0.000, 0.500, 0.000) [2 per cell]

* V: 22.856 Å³/atom
* DFT total energy: -4.59 eV per atom
* relative energy among the computed polymorphs: 0.000 eV/f.u.



Number 1: formation energy (no corrections) 3.76 eV per formula unit. Number 2: formation energy (no corrections) 6.19 eV per formula unit. Number 3: formation energy (no corrections) 1.13 eV per formula unit. Number 4: formation energy (no corrections) 1.94 eV per formula unit. Number 5: formation energy (no corrections) 5.72 eV per formula unit. Number 6: formation energy (no corrections) 4.17 eV per formula unit.